TaNiC3: relaxed, GGA-PBEsol.

POSCAR file:
```
TaNiC3
1.0
4.098 0.000 0.000
0.000 4.098 0.000
0.000 0.000 4.098
Ta C Ni
1 3 1
direct
0.000 0.000 0.000
0.000 0.000 0.500
0.500 0.000 0.000
0.000 0.500 0.000
0.500 0.500 0.500
```

Computed properties:
V   68.8 Å³ per cell
Magnetic moment   0.87 Bohr magnetons per cell
Symmetry   Pm-3m, No. 221
Total energy   -7.27 eV/atom
Formation energy   2.260 eV per atom



Tl2InSe: relaxed, GGA-PBEsol.

POSCAR file:
```
Tl2InSe
1.0
3.788 0.000 0.000
0.000 5.426 0.000
-1.894 -2.713 5.201
Tl In Se
2 1 1
direct
0.240 0.740 0.480
0.022 0.022 0.045
0.468 0.468 0.937
0.769 0.269 0.539
```

Computed properties:
V   106.9 Å³ per cell
Magnetic moment   0.00 Bohr magnetons per cell
Symmetry   Imm2, No. 44
Total energy   -3.22 eV/atom
Formation energy without anion corrections   -0.194 eV/atom



ZrPtSe2N: relaxed, GGA-PBEsol.

POSCAR file:
```
ZrPtSe2N
1.0
-0.643 -2.373 -2.885
3.183 -3.505 2.173
-4.029 -2.054 2.587
Zr N Se Pt
1 1 2 1
direct
0.000 0.000 0.000
0.500 0.000 0.000
0.000 0.000 0.500
0.000 0.500 0.000
0.500 0.500 0.500
```

Computed properties:
V   102.9 Å³ per cell
Magnetic moment   0.00 Bohr magnetons per cell
Symmetry   P4/mmm, No. 123
Total energy   -6.01 eV/atom
Formation energy without anion corrections   0.442 eV/atom



VH12SO11: relaxed, GGA-PBEsol.

POSCAR file:
```
VH12SO11
1.0
5.990 -0.113 0.071
-0.893 7.521 0.153
-1.820 -0.237 10.033
O H V S
22 24 2 2
direct
0.138 0.368 0.098
0.890 0.960 0.803
0.740 0.226 0.183
0.321 0.755 0.452
0.346 0.697 0.071
0.744 0.830 0.092
0.654 0.303 0.929
0.506 0.917 0.244
0.604 0.673 0.655
0.256 0.170 0.908
0.679 0.245 0.548
0.378 0.379 0.741
0.989 0.179 0.420
0.970 0.484 0.691
0.011 0.821 0.580
0.030 0.516 0.309
0.622 0.621 0.259
0.494 0.083 0.756
0.862 0.632 0.902
0.110 0.040 0.197
0.396 0.327 0.345
0.260 0.774 0.817
0.853 0.397 0.632
0.390 0.835 0.386
0.524 0.565 0.694
0.504 0.707 0.569
0.610 0.165 0.614
0.795 0.189 0.507
0.797 0.505 0.913
0.645 0.113 0.204
0.123 0.438 0.711
0.476 0.435 0.306
0.203 0.495 0.087
0.289 0.751 0.916
0.877 0.562 0.289
0.813 0.706 0.969
0.355 0.887 0.796
0.974 0.952 0.157
0.743 0.012 0.794
0.496 0.293 0.431
0.257 0.988 0.206
0.187 0.294 0.031
0.711 0.249 0.084
0.205 0.811 0.493
0.026 0.048 0.843
0.147 0.603 0.368
0.938 0.738 0.716
0.062 0.262 0.284
0.445 0.236 0.835
0.555 0.764 0.165
```

Computed properties:
V   452.2 Å³ per cell
Magnetic moment   2.00 Bohr magnetons per cell
Symmetry   P-1, No. 2
Total energy   -5.73 eV/atom



KZnCo2: relaxed, GGA-PBEsol.

POSCAR file:
```
KZnCo2
1.0
-1.124 -0.751 -2.223
-0.348 -3.632 1.402
-6.257 1.611 2.621
Co K Zn
2 1 1
direct
0.000 0.000 0.651
0.000 0.000 0.349
0.500 0.500 0.000
0.500 0.500 0.500
```

Computed properties:
V   70.9 Å³ per cell
Magnetic moment   2.99 Bohr magnetons per cell
Symmetry   Pmmm, No. 47
Total energy   -3.90 eV/atom
Formation energy   0.650 eV per atom



Tb3GaFeS7: relaxed, GGA-PBEsol.

POSCAR file:
```
Tb3GaFeS7
1.0
6.137 0.000 0.000
0.000 9.318 0.000
0.000 -4.659 8.070
S Tb Fe Ga
14 6 2 2
direct
0.460 0.667 0.333
0.948 0.552 0.473
0.273 0.900 0.783
0.960 0.333 0.667
0.448 0.448 0.527
0.773 0.100 0.217
0.948 0.527 0.079
0.948 0.921 0.448
0.273 0.883 0.100
0.773 0.117 0.900
0.448 0.473 0.921
0.773 0.783 0.883
0.273 0.217 0.117
0.448 0.079 0.552
0.170 0.625 0.795
0.170 0.205 0.830
0.670 0.830 0.625
0.670 0.375 0.205
0.170 0.170 0.375
0.670 0.795 0.170
0.020 0.000 0.000
0.520 0.000 0.000
0.097 0.667 0.333
0.597 0.333 0.667
```

Computed properties:
V   461.4 Å³ per cell
Magnetic moment   0.00 Bohr magnetons per cell
Symmetry   P6_3, No. 173
Total energy   -6.38 eV/atom
Formation energy without anion corrections   -1.543 eV/atom



BRuPt2C: relaxed, GGA-PBEsol.

POSCAR file:
```
BRuPt2C
1.0
2.837 0.000 0.000
0.000 4.600 0.000
0.000 0.000 4.600
C Pt Ru B
1 2 1 1
direct
0.000 0.000 0.000
0.000 0.000 0.500
0.000 0.500 0.000
0.500 0.500 0.500
0.500 0.000 0.000
```

Computed properties:
V   60.0 Å³ per cell
Magnetic moment   0.46 Bohr magnetons per cell
Symmetry   P4/mmm, No. 123
Total energy   -7.53 eV/atom
Formation energy   0.626 eV per atom



SrCoNO2: relaxed, GGA-PBEsol.

POSCAR file:
```
SrCoNO2
1.0
-2.559 1.701 -1.566
1.774 -0.572 -3.519
-1.995 -3.417 -0.451
O Sr Co N
2 1 1 1
direct
0.000 0.500 0.000
0.000 0.000 0.500
0.500 0.500 0.500
0.000 0.000 0.000
0.500 0.000 0.000
```

Computed properties:
V   54.7 Å³ per cell
Magnetic moment   0.71 Bohr magnetons per cell
Symmetry   P4/mmm, No. 123
Total energy   -6.79 eV/atom
Formation energy without anion corrections   -1.073 eV/atom



Question: total energy of number 6 (Tb3GaFeS7)?
Answer: -6.38 eV/atom